Here is a relaxed structure of PmBeNi4 from Alexandria via LeMat-Bulk. Energies are from PBE-GGA.

Unit cell a=6.918 b=3.588 c=6.471 alpha=90.00 beta=90.00 gamma=90.00
Fractional coordinates of all 12 atoms:
1 Pm 0.250 0.000 0.122
2 Pm 0.750 0.000 0.878
3 Be 0.250 0.000 0.688
4 Be 0.750 0.000 0.312
5 Ni 0.000 0.000 0.500
6 Ni 0.066 0.500 0.784
7 Ni 0.250 0.500 0.464
8 Ni 0.434 0.500 0.784
9 Ni 0.500 0.000 0.500
10 Ni 0.566 0.500 0.216
11 Ni 0.750 0.500 0.536
12 Ni 0.934 0.500 0.216

Output
DFT total energy (eV/atom): -5.533
ΔH_f (0 K) (eV per atom): -0.2657
Energy above the most stable polymorph in this dataset (eV/atom): 0.000
Spin magnetization (μB/cell): 0.00
Theoretical density (g cm⁻³): 8.04

---

Here is a relaxed structure of Pm3BeNi3 from Alexandria via LeMat-Bulk. Energies are from PBE-GGA.

Unit cell a=5.505 b=5.505 c=13.694 alpha=90.00 beta=90.00 gamma=139.16
Fractional coordinates of all 14 atoms:
1 Pm 0.004 0.996 0.750
2 Pm 0.274 0.726 0.105
3 Pm 0.274 0.726 0.395
4 Pm 0.726 0.274 0.605
5 Pm 0.726 0.274 0.895
6 Pm 0.996 0.004 0.250
7 Be 0.000 0.000 0.000
8 Be 0.000 0.000 0.500
9 Ni 0.302 0.698 0.750
10 Ni 0.440 0.560 0.580
11 Ni 0.440 0.560 0.920
12 Ni 0.560 0.440 0.080
13 Ni 0.560 0.440 0.420
14 Ni 0.698 0.302 0.250

Output
DFT total energy (eV/atom): -5.341
ΔH_f (0 K) (eV per atom): -0.2952
Spin magnetization (μB/cell): 0.00
Theoretical density (g cm⁻³): 7.59

---

Here is a relaxed structure of Pm2Be15Ni2 from Alexandria via LeMat-Bulk. Energies are from PBE-GGA.

Unit cell a=5.964 b=5.964 c=5.964 alpha=82.72 beta=82.72 gamma=82.72
Fractional coordinates of all 19 atoms:
1 Pm 0.156 0.156 0.156
2 Pm 0.844 0.844 0.844
3 Be 0.000 0.500 0.500
4 Be 0.170 0.170 0.650
5 Be 0.170 0.650 0.170
6 Be 0.231 0.500 0.769
7 Be 0.231 0.769 0.500
8 Be 0.350 0.830 0.830
9 Be 0.500 0.000 0.500
10 Be 0.500 0.231 0.769
11 Be 0.500 0.500 0.000
12 Be 0.500 0.769 0.231
13 Be 0.650 0.170 0.170
14 Be 0.769 0.231 0.500
15 Be 0.769 0.500 0.231
16 Be 0.830 0.350 0.830
17 Be 0.830 0.830 0.350
18 Ni 0.397 0.397 0.397
19 Ni 0.603 0.603 0.603

Output
DFT total energy (eV/atom): -4.206
ΔH_f (0 K) (eV per atom): -0.1557
Spin magnetization (μB/cell): 0.00
Theoretical density (g cm⁻³): 4.34

---

Here is a relaxed structure of PmBe2Ni5 from Alexandria via LeMat-Bulk. Energies are from PBE-GGA.

Unit cell a=5.721 b=5.721 c=5.721 alpha=143.49 beta=113.98 gamma=77.86
Fractional coordinates of all 8 atoms:
1 Pm 0.000 0.000 0.000
2 Be 0.268 0.768 0.500
3 Be 0.732 0.232 0.500
4 Ni 0.157 0.348 0.809
5 Ni 0.461 0.652 0.809
6 Ni 0.500 0.000 0.500
7 Ni 0.539 0.348 0.191
8 Ni 0.843 0.652 0.191

Output
DFT total energy (eV/atom): -5.438
ΔH_f (0 K) (eV per atom): -0.2991
Spin magnetization (μB/cell): 0.00
Theoretical density (g cm⁻³): 7.62

---

Here is a relaxed structure of PmBeNi4 from Alexandria via LeMat-Bulk. Energies are from PBE-GGA.

Unit cell a=4.881 b=4.881 c=4.881 alpha=60.00 beta=60.00 gamma=60.00
Fractional coordinates of all 6 atoms:
1 Pm 0.000 0.000 0.000
2 Be 0.750 0.750 0.750
3 Ni 0.377 0.377 0.377
4 Ni 0.377 0.377 0.870
5 Ni 0.377 0.870 0.377
6 Ni 0.870 0.377 0.377

Output
DFT total energy (eV/atom): -5.424
ΔH_f (0 K) (eV per atom): -0.1570
Energy above the most stable polymorph in this dataset (eV/atom): 0.109
Spin magnetization (μB/cell): 0.00
Theoretical density (g cm⁻³): 7.85

---

Here is a relaxed structure of PmBeNi2 from Alexandria via LeMat-Bulk. Energies are from PBE-GGA.

Unit cell a=5.305 b=5.305 c=5.305 alpha=43.03 beta=43.03 gamma=43.03
Fractional coordinates of all 4 atoms:
1 Pm 0.000 0.000 0.000
2 Be 0.500 0.500 0.500
3 Ni 0.199 0.199 0.199
4 Ni 0.801 0.801 0.801

Output
DFT total energy (eV/atom): -5.355
ΔH_f (0 K) (eV per atom): -0.3449
Spin magnetization (μB/cell): 0.00
Theoretical density (g cm⁻³): 7.15

---

Here is a relaxed structure of PmPrBeNi from Alexandria via LeMat-Bulk. Energies are from PBE-GGA.

Unit cell a=4.982 b=4.982 c=4.982 alpha=60.00 beta=60.00 gamma=60.00
Fractional coordinates of all 4 atoms:
1 Pm 0.000 0.000 0.000
2 Pr 0.500 0.500 0.500
3 Be 0.250 0.250 0.250
4 Ni 0.750 0.750 0.750

Output
DFT total energy (eV/atom): -4.746
ΔH_f (0 K) (eV per atom): 0.0130
Spin magnetization (μB/cell): 0.00
Theoretical density (g cm⁻³): 6.72

---

Here is a relaxed structure of Pm2Be3NiPt4 from Alexandria via LeMat-Bulk. Energies are from PBE-GGA.

Unit cell a=4.049 b=4.049 c=9.915 alpha=90.00 beta=90.00 gamma=90.00
Fractional coordinates of all 10 atoms:
1 Pm 0.000 0.500 0.247
2 Pm 0.500 0.000 0.753
3 Be 0.000 0.000 0.000
4 Be 0.000 0.500 0.620
5 Be 0.500 0.000 0.380
6 Ni 0.500 0.500 0.000
7 Pt 0.000 0.000 0.500
8 Pt 0.000 0.500 0.855
9 Pt 0.500 0.000 0.145
10 Pt 0.500 0.500 0.500

Output
DFT total energy (eV/atom): -5.876
ΔH_f (0 K) (eV per atom): -0.8139
Spin magnetization (μB/cell): 0.00
Theoretical density (g cm⁻³): 11.81